[1]
A plane-wave DFT calculation with GGA-PBE was carried out for CaTmPb after structural relaxation.

The uncorrected energy comes out at -10.97 eV/cell. Its space group is No. 216.

a = 5.2243 Å, b = 5.2243 Å, c = 5.2243 Å
α = 60.00°, β = 60.00°, γ = 60.00°
With the nearest neighbours (Å) after each atom.
Positions (direct):
Pb  0.2500  0.2500  0.2500  4 Tm 3.20, 4 Ca 3.20
Ca  0.0000  0.0000  0.0000  4 Pb 3.20
Tm  0.5000  0.5000  0.5000  4 Pb 3.20

***

[2]
A plane-wave DFT calculation with GGA-PBE was carried out for CaTm4Pb5 after structural relaxation.

The uncorrected energy comes out at -42.48 eV/cell. Its space group is No. 123.

a = 3.5221 Å, b = 3.5221 Å, c = 22.4218 Å
α = 90.00°, β = 90.00°, γ = 90.00°
With the nearest neighbours (Å) after each atom.
Positions (direct):
Ca  0.0000  0.0000  0.0000  8 Pb 3.43, 4 Ca 3.52
Tm  0.0000  0.0000  0.2036  8 Pb 3.33, 4 Tm 3.52
Tm  0.0000  0.0000  0.4015  8 Pb 3.33-3.34, 4 Tm 3.52
Tm  0.0000  0.0000  0.5985  8 Pb 3.33-3.34, 4 Tm 3.52
Tm  0.0000  0.0000  0.7964  8 Pb 3.33, 4 Tm 3.52
Pb  0.5000  0.5000  0.1049  4 Tm 3.33, 4 Ca 3.43, 4 Pb 3.52
Pb  0.5000  0.5000  0.3025  8 Tm 3.33-3.34, 4 Pb 3.52
Pb  0.5000  0.5000  0.5000  8 Tm 3.33, 4 Pb 3.52
Pb  0.5000  0.5000  0.6975  8 Tm 3.33-3.34, 4 Pb 3.52
Pb  0.5000  0.5000  0.8951  4 Tm 3.33, 4 Ca 3.43, 4 Pb 3.52

***

[3]
A plane-wave DFT calculation with GGA-PBE was carried out for CaTmPb after structural relaxation.

The uncorrected energy comes out at -9.72 eV/cell. Its space group is No. 107.

a = 3.5150 Å, b = 3.5150 Å, c = 9.0489 Å
α = 101.20°, β = 101.20°, γ = 90.00°
With the nearest neighbours (Å) after each atom.
Positions (direct):
Pb  0.7640  0.7640  0.5281  1 Ca 3.14, 4 Tm 3.27
Ca  0.9442  0.9442  0.8884  1 Pb 3.14, 1 Tm 3.44
Tm  0.1418  0.1418  0.2835  4 Pb 3.27, 1 Ca 3.44, 4 Tm 3.51

***

[4]
A plane-wave DFT calculation with GGA-PBE was carried out for CaTm3Pb4 after structural relaxation.

The uncorrected energy comes out at -33.35 eV/cell. Its space group is No. 47.

a = 4.3631 Å, b = 5.1449 Å, c = 10.0900 Å
α = 90.00°, β = 90.00°, γ = 90.00°
With the nearest neighbours (Å) after each atom.
Positions (direct):
Pb  0.0000  0.0000  0.5000  8 Tm 3.33-3.37, 4 Pb 3.56
Pb  0.0000  0.5000  0.7440  6 Tm 3.29-3.37, 2 Ca 3.38, 4 Pb 3.56-3.65
Pb  0.0000  0.0000  0.0000  4 Tm 3.34, 4 Ca 3.37, 4 Pb 3.65
Pb  0.0000  0.5000  0.2560  6 Tm 3.29-3.37, 2 Ca 3.38, 4 Pb 3.56-3.65
Ca  0.5000  0.5000  0.0000  8 Pb 3.37-3.38, 4 Tm 3.61
Tm  0.5000  0.0000  0.2509  8 Pb 3.33-3.37, 2 Tm 3.60, 2 Ca 3.61
Tm  0.5000  0.5000  0.5000  8 Pb 3.29-3.37, 4 Tm 3.60
Tm  0.5000  0.0000  0.7491  8 Pb 3.33-3.37, 2 Tm 3.60, 2 Ca 3.61

***

[5]
A plane-wave DFT calculation with GGA-PBE was carried out for Ca3TmPb4 after structural relaxation.

The uncorrected energy comes out at -29.24 eV/cell. Its space group is No. 123.

a = 3.5935 Å, b = 3.5935 Å, c = 18.1500 Å
α = 90.00°, β = 90.00°, γ = 90.00°
With the nearest neighbours (Å) after each atom.
Positions (direct):
Pb  0.0000  0.0000  0.8807  4 Tm 3.34, 4 Ca 3.45, 4 Pb 3.59
Pb  0.0000  0.0000  0.1193  4 Tm 3.34, 4 Ca 3.45, 4 Pb 3.59
Pb  0.0000  0.0000  0.3733  8 Ca 3.41-3.43, 4 Pb 3.59
Pb  0.0000  0.0000  0.6267  8 Ca 3.41-3.43, 4 Pb 3.59
Ca  0.5000  0.5000  0.2483  8 Pb 3.41-3.45, 4 Ca 3.59
Ca  0.5000  0.5000  0.5000  8 Pb 3.43, 4 Ca 3.59
Ca  0.5000  0.5000  0.7517  8 Pb 3.41-3.45, 4 Ca 3.59
Tm  0.5000  0.5000  0.0000  8 Pb 3.34, 4 Tm 3.59

***

[6]
A plane-wave DFT calculation with GGA-PBE was carried out for Ca2TmPb3 after structural relaxation.

The uncorrected energy comes out at -44.49 eV/cell. Its space group is No. 65.

a = 5.6869 Å, b = 8.8623 Å, c = 7.4879 Å
α = 90.00°, β = 90.00°, γ = 71.29°
With the nearest neighbours (Å) after each atom.
Positions (direct):
Ca  0.0000  0.0000  0.0000  8 Pb 3.38, 2 Ca 3.74
Ca  0.0000  0.0000  0.5000  8 Pb 3.43-3.47, 2 Ca 3.74
Ca  0.3358  0.3284  0.5000  8 Pb 3.36-3.46, 2 Tm 3.74
Ca  0.6642  0.6716  0.5000  8 Pb 3.36-3.46, 2 Tm 3.74
Tm  0.3365  0.3269  0.0000  8 Pb 3.29-3.36
Tm  0.6635  0.6731  0.0000  8 Pb 3.29-3.36
Pb  0.8292  0.3416  0.7620  3 Tm 3.30-3.36, 5 Ca 3.38-3.47, 1 Pb 3.56
Pb  0.5000  0.0000  0.2432  2 Tm 3.29, 6 Ca 3.36-3.43, 1 Pb 3.64
Pb  0.1708  0.6584  0.2380  3 Tm 3.30-3.36, 5 Ca 3.38-3.47, 1 Pb 3.56
Pb  0.8292  0.3416  0.2380  3 Tm 3.30-3.36, 5 Ca 3.38-3.47, 1 Pb 3.56
Pb  0.1708  0.6584  0.7620  3 Tm 3.30-3.36, 5 Ca 3.38-3.47, 1 Pb 3.56
Pb  0.5000  0.0000  0.7568  2 Tm 3.29, 6 Ca 3.36-3.43, 1 Pb 3.64

***

Number 1: calculated formation energy -0.263 eV/atom. Number 2: calculated formation energy -0.405 eV/atom. Number 3: calculated formation energy 0.153 eV/atom. Number 4: calculated formation energy -0.387 eV/atom. Number 5: calculated formation energy -0.491 eV/atom. Number 6: calculated formation energy -0.441 eV/atom.